No. 1
# CoSi2Au

A geometry-optimized CoSi2Au structure (PBE, Alexandria via LeMat-Bulk).

Computed properties:
Spin magnetization, μB/f.u.: 0.00
E_form (uncorrected), eV/atom: -0.040
E above lowest polymorph, meV per atom: 83
VASP energy, eV per cell: -21.4

a = 4.180 Å, b = 3.164 Å, c = 4.312 Å
α = 89.93°, β = 90.00°, γ = 90.00°
Fractional positions:
Au  0.000  0.375  0.510
Co  0.500  0.876  0.802
Si  0.000  0.875  0.010
Si  0.500  0.375  0.178


No. 2
# LiY2Zn

A geometry-optimized LiY2Zn structure (PBE, Alexandria via LeMat-Bulk).

Computed properties:
Formation energy, eV per formula unit: 0.06
Spin magnetization, μB/f.u.: 0.00
VASP energy, eV per cell: -16.1

a = 5.955 Å, b = 5.955 Å, c = 5.955 Å
α = 137.26°, β = 137.26°, γ = 62.03°
Fractional positions:
Li  0.750  0.250  0.500
Y  0.000  0.000  0.000
Y  0.250  0.750  0.500
Zn  0.500  0.500  0.000


No. 3
# NaAlTlBi

A geometry-optimized NaAlTlBi structure (PBE, Alexandria via LeMat-Bulk).

Computed properties:
Formation energy, eV per formula unit: 0.03
Spin magnetization, μB/f.u.: 0.00
VASP energy, eV per cell: -11.3

a = 5.345 Å, b = 5.345 Å, c = 5.345 Å
α = 60.00°, β = 60.00°, γ = 60.00°
Fractional positions:
Na  0.000  0.000  0.000
Tl  0.250  0.250  0.250
Bi  0.750  0.750  0.750
Al  0.500  0.500  0.500


No. 4
# LaZr2Cu2

A geometry-optimized LaZr2Cu2 structure (PBE, Alexandria via LeMat-Bulk).

Computed properties:
Formation energy, eV per formula unit: 0.06
Spin magnetization, μB/f.u.: 0.00
E above lowest polymorph, meV per atom: 0
VASP energy, eV per cell: -30.2

a = 4.512 Å, b = 4.512 Å, c = 6.341 Å
α = 69.16°, β = 69.16°, γ = 90.00°
Fractional positions:
Cu  0.392  0.392  0.217
Cu  0.608  0.608  0.783
Zr  0.750  0.250  0.500
Zr  0.250  0.750  0.500
La  0.000  0.000  0.000